Record 1
Density functional theory data (PBE-GGA) for a relaxed structure of TaAl2Si.

Cell: 4.7151 4.7151 2.9060 Å, 90.00 90.00 90.00°
Atoms (fractional coordinates):
Ta 0.0000 0.0000 0.0000
Al 0.0000 0.5000 0.5000
Al 0.5000 0.0000 0.5000
Si 0.5000 0.5000 0.0000

Values from the calculation:
Space-group type   P4/mmm, No. 123
E   -24.672 eV/cell
Crystal system   tetragonal

***

Record 2
Density functional theory data (PBE-GGA) for a relaxed structure of TaAlSi.

Cell: 7.1792 6.9300 6.6824 Å, 63.63 59.86 56.51°
Atoms (fractional coordinates):
Ta 0.0352 0.0352 0.7148
Ta 0.2852 0.2852 0.9648
Ta 0.7148 0.7148 0.0352
Ta 0.9648 0.9648 0.2852
Al 0.0000 0.5000 0.5000
Al 0.5000 0.0000 0.5000
Al 0.5000 0.5000 0.0000
Al 0.5000 0.5000 0.5000
Si 0.0666 0.6834 0.0666
Si 0.3166 0.9334 0.3166
Si 0.6834 0.0666 0.6834
Si 0.9334 0.3166 0.9334

Values from the calculation:
Space-group type   Fddd, No. 70
E   -80.832 eV/cell
Crystal system   orthorhombic

***

Record 3
Density functional theory data (PBE-GGA) for a relaxed structure of TaAl2Si.

Cell: 2.8067 2.8067 8.2024 Å, 90.00 90.00 94.78°
Atoms (fractional coordinates):
Ta 0.0000 0.0000 0.0000
Al 0.5000 0.5000 0.2567
Al 0.5000 0.5000 0.7433
Si 0.0000 0.0000 0.5000

Values from the calculation:
Space-group type   Cmmm, No. 65
E   -24.748 eV/cell
Crystal system   orthorhombic

***

Record 4
Density functional theory data (PBE-GGA) for a relaxed structure of Ta3AlSi.

Cell: 4.6385 4.6385 4.6385 Å, 90.00 90.00 90.00°
Atoms (fractional coordinates):
Ta 0.0000 0.0000 0.5000
Ta 0.0000 0.5000 0.0000
Ta 0.5000 0.0000 0.0000
Al 0.5000 0.5000 0.5000
Si 0.0000 0.0000 0.0000

Values from the calculation:
Space-group type   Pm-3m, No. 221
Energy above the lowest structure with this stoichiometry   0.0 meV per atom
E   -40.862 eV/cell
Crystal system   cubic